Record 1
The following is a DFT calculation (GGA+U) of Li2FeSnF6 after structural relaxation.

a = 5.444 Å, b = 5.462 Å, c = 5.720 Å
α = 62.18°, β = 62.72°, γ = 60.72°
Fractional coordinates of all 10 atoms:
Li  0.000  0.000  0.000
Li  0.494  0.517  0.496
Fe  0.288  0.308  0.117
Sn  0.777  0.791  0.660
F  0.141  0.328  0.830
F  0.196  0.896  0.311
F  0.311  0.720  0.811
F  0.559  0.235  0.317
F  0.704  0.164  0.814
F  0.872  0.605  0.305

Results
**Total DFT energy (no corrections)**: -5.02 eV/atom
**Crystal system**: triclinic
**Size of the total moment**: 4.02 Bohr magnetons per cell



Record 2
The following is a DFT calculation (GGA+U) of LiTlFeF4 after structural relaxation.

a = 5.144 Å, b = 5.705 Å, c = 7.821 Å
α = 90.00°, β = 101.83°, γ = 90.00°
Fractional coordinates of all 14 atoms:
Li  0.134  0.250  0.018
Li  0.866  0.750  0.982
Tl  0.163  0.750  0.633
Tl  0.837  0.250  0.367
Fe  0.393  0.750  0.194
Fe  0.607  0.250  0.806
F  0.089  0.514  0.171
F  0.089  0.986  0.171
F  0.356  0.250  0.587
F  0.491  0.750  0.965
F  0.509  0.250  0.035
F  0.644  0.750  0.413
F  0.911  0.014  0.829
F  0.911  0.486  0.829

Results
**Total DFT energy (no corrections)**: -4.79 eV/atom
**Crystal system**: monoclinic
**Size of the total moment**: 8.00 Bohr magnetons per cell



Record 3
The following is a DFT calculation (GGA+U) of Li2Tl3FeF9 after structural relaxation.

a = 5.803 Å, b = 5.803 Å, c = 7.180 Å
α = 90.00°, β = 90.00°, γ = 120.00°
Fractional coordinates of all 15 atoms:
Li  0.333  0.667  0.175
Li  0.667  0.333  0.825
Tl  0.000  0.000  0.000
Tl  0.333  0.667  0.726
Tl  0.667  0.333  0.274
Fe  0.000  0.000  0.500
F  0.000  0.500  0.000
F  0.160  0.320  0.342
F  0.160  0.840  0.342
F  0.320  0.160  0.658
F  0.500  0.000  0.000
F  0.500  0.500  0.000
F  0.680  0.840  0.342
F  0.840  0.160  0.658
F  0.840  0.680  0.658

Results
**Total DFT energy (no corrections)**: -4.47 eV/atom
**Crystal system**: trigonal
**Size of the total moment**: 4.79 Bohr magnetons per cell



Record 4
The following is a DFT calculation (GGA+U) of LiTlFeF6 after structural relaxation.

a = 5.711 Å, b = 5.711 Å, c = 8.712 Å
α = 90.00°, β = 90.00°, γ = 120.00°
Fractional coordinates of all 18 atoms:
Li  0.000  0.000  0.000
Li  0.000  0.000  0.500
Tl  0.333  0.667  0.250
Tl  0.667  0.333  0.750
Fe  0.333  0.667  0.750
Fe  0.667  0.333  0.250
F  0.061  0.367  0.624
F  0.061  0.694  0.876
F  0.306  0.367  0.876
F  0.306  0.939  0.624
F  0.367  0.061  0.124
F  0.367  0.306  0.376
F  0.633  0.694  0.624
F  0.633  0.939  0.876
F  0.694  0.061  0.376
F  0.694  0.633  0.124
F  0.939  0.306  0.124
F  0.939  0.633  0.376

Results
**Total DFT energy (no corrections)**: -4.59 eV/atom
**Crystal system**: trigonal
**Size of the total moment**: 8.55 Bohr magnetons per cell



Among the records above, which one has the lowest size of the total moment? Li2FeSnF6